Entry 1:
A geometry-optimized Na2YHf structure. Source: the Alexandria database, functional PBE.

Unit cell a=5.3791 b=5.3791 c=5.3791 alpha=60.00 beta=60.00 gamma=60.00
Last column: nearest neighbours and their distance in Å.
Fractional positions:
Y: 0.0000 0.0000 0.0000  8 Na 3.29
Na: 0.2500 0.2500 0.2500  4 Hf 3.29, 4 Y 3.29
Na: 0.7500 0.7500 0.7500  4 Hf 3.29, 4 Y 3.29
Hf: 0.5000 0.5000 0.5000  8 Na 3.29

## Properties
volume: 27.51 A^3/atom
DFT formation energy: 802 meV per atom
DOS(E_F): 4.41 states/eV/cell
energy above the lowest structure with this stoichiometry: 0 meV per atom
space-group type: Fm-3m, No. 225

Entry 2:
A geometry-optimized NaY2Hf2 structure. Source: the Alexandria database, functional PBE.

Unit cell a=9.3437 b=9.3437 c=3.3360 alpha=90.00 beta=90.00 gamma=90.00
Last column: nearest neighbours and their distance in Å.
Fractional positions:
Y: 0.1842 0.6842 0.5000  6 Hf 3.23-3.27, 2 Y 3.34
Y: 0.6842 0.8158 0.5000  6 Hf 3.23-3.27, 2 Y 3.34
Y: 0.8158 0.3158 0.5000  6 Hf 3.23-3.27, 2 Y 3.34
Y: 0.3158 0.1842 0.5000  6 Hf 3.23-3.27, 2 Y 3.34
Na: 0.0000 0.0000 0.0000  2 Na 3.34
Na: 0.5000 0.5000 0.0000  2 Na 3.34
Hf: 0.3931 0.8931 0.0000  1 Hf 2.82
Hf: 0.8931 0.6069 0.0000  1 Hf 2.82
Hf: 0.6069 0.1069 0.0000  1 Hf 2.82
Hf: 0.1069 0.3931 0.0000  1 Hf 2.82

## Properties
volume: 29.13 A^3/atom
DFT formation energy: 396 meV per atom
DOS(E_F): 9.86 states/eV/cell
space-group type: P4/mbm, No. 127

Entry 3:
A geometry-optimized NaHf3Zn structure. Source: the Alexandria database, functional PBE.

Unit cell a=4.9179 b=4.9179 c=4.9179 alpha=90.00 beta=90.00 gamma=90.00
Last column: nearest neighbours and their distance in Å.
Fractional positions:
Na: 0.0000 0.0000 0.0000  6 Hf 2.46
Zn: 0.5000 0.5000 0.5000  12 Hf 3.48
Hf: 0.0000 0.5000 0.0000  2 Na 2.46
Hf: 0.0000 0.0000 0.5000  2 Na 2.46
Hf: 0.5000 0.0000 0.0000  2 Na 2.46

## Properties
volume: 23.79 A^3/atom
DFT formation energy: 1623 meV per atom
DOS(E_F): 4.13 states/eV/cell
energy above the lowest structure with this stoichiometry: 712 meV per atom
space-group type: Pm-3m, No. 221

Entry 4:
A geometry-optimized NaHf3Zn structure. Source: the Alexandria database, functional PBE.

Unit cell a=5.0452 b=5.0452 c=5.0452 alpha=90.00 beta=90.00 gamma=90.00
Last column: nearest neighbours and their distance in Å.
Fractional positions:
Na: 0.5000 0.5000 0.5000  12 Hf 3.57
Zn: 0.0000 0.0000 0.0000  6 Hf 2.52
Hf: 0.0000 0.5000 0.0000  2 Zn 2.52
Hf: 0.0000 0.0000 0.5000  2 Zn 2.52
Hf: 0.5000 0.0000 0.0000  2 Zn 2.52

## Properties
volume: 25.68 A^3/atom
DFT formation energy: 911 meV per atom
DOS(E_F): 7.59 states/eV/cell
energy above the lowest structure with this stoichiometry: 0 meV per atom
space-group type: Pm-3m, No. 221

Entry 5:
A geometry-optimized NaHf2Zn2 structure. Source: the Alexandria database, functional PBE.

Unit cell a=8.5245 b=8.5245 c=2.8464 alpha=90.00 beta=90.00 gamma=90.00
Last column: nearest neighbours and their distance in Å.
Fractional positions:
Na: 0.0000 0.0000 0.0000  2 Na 2.85
Na: 0.5000 0.5000 0.0000  2 Na 2.85
Zn: 0.1692 0.6692 0.5000  2 Zn 2.85, 6 Hf 2.85-2.91
Zn: 0.6692 0.8308 0.5000  2 Zn 2.85, 6 Hf 2.85-2.91
Zn: 0.8308 0.3308 0.5000  2 Zn 2.85, 6 Hf 2.85-2.91
Zn: 0.3308 0.1692 0.5000  2 Zn 2.85, 6 Hf 2.85-2.91
Hf: 0.3741 0.8741 0.0000  3 Hf 2.85-3.03, 6 Zn 2.85-2.91
Hf: 0.8741 0.6259 0.0000  3 Hf 2.85-3.03, 6 Zn 2.85-2.91
Hf: 0.6259 0.1259 0.0000  3 Hf 2.85-3.03, 6 Zn 2.85-2.91
Hf: 0.1259 0.3741 0.0000  3 Hf 2.85-3.03, 6 Zn 2.85-2.91

## Properties
volume: 20.68 A^3/atom
DFT formation energy: 150 meV per atom
DOS(E_F): 6.62 states/eV/cell
energy above the lowest structure with this stoichiometry: 15 meV per atom
space-group type: P4/mbm, No. 127

Entry 6:
A geometry-optimized NaHfZn17 structure. Source: the Alexandria database, functional PBE.

Unit cell a=6.7467 b=6.7467 c=6.7467 alpha=82.42 beta=82.42 gamma=82.42
Last column: nearest neighbours and their distance in Å.
Fractional positions:
Na: 0.6606 0.6606 0.6606  19 Zn 3.12-3.47
Hf: 0.3308 0.3308 0.3308  13 Zn 2.97-3.20
Zn: 0.3015 0.0008 0.6967  8 Zn 2.58-2.77
Zn: 0.6967 0.3015 0.0008  8 Zn 2.58-2.77
Zn: 0.0008 0.6967 0.3015  8 Zn 2.58-2.77
Zn: 0.3015 0.6967 0.0008  8 Zn 2.58-2.77
Zn: 0.0008 0.3015 0.6967  8 Zn 2.58-2.77
Zn: 0.6967 0.0008 0.3015  8 Zn 2.58-2.77
Zn: 0.3484 0.8532 0.3484  9 Zn 2.52-2.77
Zn: 0.3484 0.3484 0.8532  9 Zn 2.52-2.77
Zn: 0.8532 0.3484 0.3484  9 Zn 2.52-2.77
Zn: 0.6380 0.1794 0.6380  8 Zn 2.52-2.77
Zn: 0.6380 0.6380 0.1794  8 Zn 2.52-2.77
Zn: 0.1794 0.6380 0.6380  8 Zn 2.52-2.77
Zn: 0.9952 0.5062 0.9952  10 Zn 2.58-2.74
Zn: 0.9952 0.9952 0.5062  10 Zn 2.58-2.74
Zn: 0.5062 0.9952 0.9952  10 Zn 2.58-2.74
Zn: 0.9040 0.9040 0.9040  4 Zn 2.64-2.68
Zn: 0.1048 0.1048 0.1048  7 Zn 2.64-2.74

## Properties
volume: 15.77 A^3/atom
DFT formation energy: -52 meV per atom
DOS(E_F): 5.86 states/eV/cell
space-group type: R3m, No. 160

Entry 7:
A geometry-optimized NaHf2Zn2 structure. Source: the Alexandria database, functional PBE.

Unit cell a=8.3859 b=8.3859 c=2.9447 alpha=90.00 beta=90.00 gamma=90.00
Last column: nearest neighbours and their distance in Å.
Fractional positions:
Na: 0.0000 0.0000 0.0000  2 Na 2.94, 4 Zn 3.13
Na: 0.5000 0.5000 0.0000  2 Na 2.94, 4 Zn 3.13
Zn: 0.3337 0.8337 0.0000  6 Hf 2.83-2.91, 2 Zn 2.94, 2 Na 3.13
Zn: 0.8337 0.6663 0.0000  6 Hf 2.83-2.91, 2 Zn 2.94, 2 Na 3.13
Zn: 0.6663 0.1663 0.0000  6 Hf 2.83-2.91, 2 Zn 2.94, 2 Na 3.13
Zn: 0.1663 0.3337 0.0000  6 Hf 2.83-2.91, 2 Zn 2.94, 2 Na 3.13
Hf: 0.1302 0.6302 0.5000  6 Zn 2.83-2.91, 3 Hf 2.94-3.09
Hf: 0.6302 0.8698 0.5000  6 Zn 2.83-2.91, 3 Hf 2.94-3.09
Hf: 0.8698 0.3698 0.5000  6 Zn 2.83-2.91, 3 Hf 2.94-3.09
Hf: 0.3698 0.1302 0.5000  6 Zn 2.83-2.91, 3 Hf 2.94-3.09

## Properties
volume: 20.71 A^3/atom
DFT formation energy: 135 meV per atom
DOS(E_F): 6.45 states/eV/cell
energy above the lowest structure with this stoichiometry: 0 meV per atom
space-group type: P4/mbm, No. 127

Entry 8:
A geometry-optimized NaHfZn4 structure. Source: the Alexandria database, functional PBE.

Unit cell a=5.2576 b=5.2576 c=5.2576 alpha=60.00 beta=60.00 gamma=60.00
Last column: nearest neighbours and their distance in Å.
Fractional positions:
Na: 0.2500 0.2500 0.2500  12 Zn 3.08, 4 Hf 3.22
Zn: 0.6261 0.6261 0.1218  6 Zn 2.61-2.65
Zn: 0.6261 0.1218 0.6261  6 Zn 2.61-2.65
Zn: 0.6261 0.6261 0.6261  6 Zn 2.61-2.65
Zn: 0.1218 0.6261 0.6261  6 Zn 2.61-2.65
Hf: 0.0000 0.0000 0.0000  12 Zn 3.08, 4 Na 3.22

## Properties
volume: 17.13 A^3/atom
DFT formation energy: 31 meV per atom
DOS(E_F): 3.36 states/eV/cell
space-group type: F-43m, No. 216

Entry 9:
A geometry-optimized NaHfZr2 structure. Source: the Alexandria database, functional PBE.

Unit cell a=4.2658 b=4.2658 c=11.0140 alpha=78.83 beta=78.83 gamma=90.00
Last column: nearest neighbours and their distance in Å.
Fractional positions:
Na: 0.5000 0.5000 0.0000  4 Hf 3.02, 4 Zr 3.06
Na: 0.2500 0.7500 0.5000  4 Hf 3.02, 4 Zr 3.06
Hf: 0.0000 0.0000 0.0000  4 Na 3.02, 4 Zr 3.03
Hf: 0.7500 0.2500 0.5000  4 Na 3.02, 4 Zr 3.03
Zr: 0.6346 0.1250 0.2500  4 Zr 2.96-3.07, 2 Hf 3.03, 2 Na 3.06
Zr: 0.1154 0.6250 0.2500  4 Zr 2.96-3.07, 2 Hf 3.03, 2 Na 3.06
Zr: 0.3750 0.3654 0.7500  4 Zr 2.96-3.07, 2 Hf 3.03, 2 Na 3.06
Zr: 0.8750 0.8846 0.7500  4 Zr 2.96-3.07, 2 Hf 3.03, 2 Na 3.06

## Properties
volume: 24.09 A^3/atom
DFT formation energy: 889 meV per atom
DOS(E_F): 10.56 states/eV/cell
energy above the lowest structure with this stoichiometry: 314 meV per atom
space-group type: I-42d, No. 122

Entry 10:
A geometry-optimized NaHfZr2 structure. Source: the Alexandria database, functional PBE.

Unit cell a=5.0568 b=5.0568 c=5.0568 alpha=60.00 beta=60.00 gamma=60.00
Last column: nearest neighbours and their distance in Å.
Fractional positions:
Na: 0.0000 0.0000 0.0000  8 Zr 3.10
Hf: 0.5000 0.5000 0.5000  8 Zr 3.10
Zr: 0.2500 0.2500 0.2500  4 Hf 3.10, 4 Na 3.10
Zr: 0.7500 0.7500 0.7500  4 Na 3.10, 4 Hf 3.10

## Properties
volume: 22.86 A^3/atom
DFT formation energy: 575 meV per atom
DOS(E_F): 7.34 states/eV/cell
energy above the lowest structure with this stoichiometry: 0 meV per atom
space-group type: Fm-3m, No. 225

- DFT formation energy of number 8 (NaHfZn4)?
  31 meV per atom

- volume of number 9 (NaHfZr2)?
  24.09 A^3/atom